An optimized crystal structure of RbMnBiO4. Source: Alexandria, functional GGA+U.

a = 6.226 Å, b = 6.124 Å, c = 7.639 Å
α = 90.00°, β = 110.84°, γ = 90.00°
Site moments in Bohr magnetons follow the coordinates.
Fractional positions:
Rb 0.700 0.750 0.949  0.00
Rb 0.300 0.250 0.051  0.00
Mn 0.269 0.750 0.332  3.09
Mn 0.731 0.250 0.668  3.09
Bi 0.806 0.750 0.481  0.06
Bi 0.194 0.250 0.519  0.06
O 0.941 0.469 0.688  -0.04
O 0.059 0.969 0.312  -0.04
O 0.059 0.531 0.312  -0.04
O 0.941 0.031 0.688  -0.04
O 0.464 0.750 0.208  -0.08
O 0.536 0.250 0.792  -0.08
O 0.495 0.750 0.561  -0.05
O 0.505 0.250 0.439  -0.05

Properties
Magnetic moment, μB per atom: 0.429
Crystal system: monoclinic
E_tot, eV/atom: -5.86
ρ, Mg/m³: 5.044